This record from the Alexandria database describes an optimized crystal structure of AgAs2Au. The functional is PBE.

The structure belongs to space group Fm-3m (No. 225); the cell edges are 6.709, 6.709 and 6.709 Å and the angles 90.00°, 90.00° and 90.00°. The asymmetric unit holds Ag at (0.000, 0.000, 0.000), As at (0.250, 0.250, 0.250) and Au at (0.000, 0.000, 0.500).

The density of states at the Fermi level is 9.63 states/eV per cell. As for the relative energy among the computed polymorphs: 149.0 meV per atom. Its crystal system is cubic.

---

This record from the Alexandria database describes an optimized crystal structure of AgAsAu2. The functional is PBE.

The structure belongs to space group Cm (No. 8); the cell edges are 10.067, 3.063 and 4.963 Å and the angles 90.00°, 103.99° and 90.00°. The asymmetric unit holds Ag at (0.000, 0.000, 0.000), As at (0.270, 0.500, 0.255), Au at (0.237, 0.000, 0.750) and Au at (0.493, 0.000, 0.498).

The density of states at the Fermi level is 1.61 states/eV per cell. Its crystal system is monoclinic.

---

This record from the Alexandria database describes an optimized crystal structure of AgAs2Au. The functional is PBE.

The structure belongs to space group Pmmm (No. 47); the cell edges are 2.961, 4.314 and 5.926 Å and the angles 90.00°, 90.00° and 90.00°. The asymmetric unit holds Ag at (0.000, 0.000, 0.000), As at (0.500, 0.500, 0.239) and Au at (0.000, 0.000, 0.500).

The density of states at the Fermi level is 1.03 states/eV per cell. As for the relative energy among the computed polymorphs: 84.4 meV per atom. Its crystal system is orthorhombic.

---

This record from the Alexandria database describes an optimized crystal structure of AgAs3Au. The functional is PBE.

The structure belongs to space group Pm-3m (No. 221); the cell edges are 5.063, 5.063 and 5.063 Å and the angles 90.00°, 90.00° and 90.00°. The asymmetric unit holds Ag at (0.000, 0.000, 0.000), As at (0.000, 0.500, 0.500) and Au at (0.500, 0.500, 0.500).

The density of states at the Fermi level is 4.74 states/eV per cell. As for the relative energy among the computed polymorphs: 0.0 meV per atom. Its crystal system is cubic.

---

This record from the Alexandria database describes an optimized crystal structure of AgAs2Au. The functional is PBE.

The structure belongs to space group I-42d (No. 122); the cell edges are 5.874, 5.874 and 11.705 Å and the angles 90.00°, 90.00° and 90.00°. The asymmetric unit holds Ag at (0.000, 0.000, 0.000), As at (0.241, 0.250, 0.625) and Au at (0.000, 0.000, 0.500).

The density of states at the Fermi level is 9.60 states/eV per cell. As for the relative energy among the computed polymorphs: 207.6 meV per atom. Its crystal system is tetragonal.

---

This record from the Alexandria database describes an optimized crystal structure of Ag2AsAu. The functional is PBE.

The structure belongs to space group P4/mmm (No. 123); the cell edges are 2.919, 2.919 and 8.609 Å and the angles 90.00°, 90.00° and 90.00°. The asymmetric unit holds Ag at (0.000, 0.000, 0.247), As at (0.500, 0.500, 0.500) and Au at (0.500, 0.500, 0.000).

The density of states at the Fermi level is 0.58 states/eV per cell. Its crystal system is tetragonal.

---

This record from the Alexandria database describes an optimized crystal structure of Ag2AsAu. The functional is PBE.

The structure belongs to space group R-3m (No. 166, hexagonal axes); the cell edges are 3.0681, 3.0681 and 27.1426 Å and the angles 90.00°, 90.00° and 120.00°. The asymmetric unit holds Ag at (0.0000, 0.0000, 0.2486), As at (0.0000, 0.0000, 0.5000) and Au at (0.0000, 0.0000, 0.0000).

The density of states at the Fermi level is 6.28 states/eV per cell. Its crystal system is trigonal.

---

This record from the Alexandria database describes an optimized crystal structure of Ag14AsAu. The functional is PBE.

The structure belongs to space group Amm2 (No. 38); the cell edges are 9.556, 5.985 and 10.103 Å and the angles 90.00°, 90.00° and 90.00°. The asymmetric unit holds Ag at (0.000, 0.000, 0.000), Ag at (0.000, 0.000, 0.500), Ag at (0.000, 0.250, 0.250), Ag at (0.249, 0.000, 0.170), Ag at (0.249, 0.000, 0.671), Ag at (0.249, 0.250, 0.421), Ag at (0.500, 0.250, 0.089), As at (0.500, 0.000, 0.337) and Au at (0.500, 0.000, 0.839).

The density of states at the Fermi level is 14.71 states/eV per cell. Its crystal system is orthorhombic.

---

This record from the Alexandria database describes an optimized crystal structure of AgAsAu2. The functional is PBE.

The structure belongs to space group Cmmm (No. 65); the cell edges are 5.935, 8.519 and 2.908 Å and the angles 90.00°, 90.00° and 90.00°. The asymmetric unit holds Ag at (0.000, 0.000, 0.000), As at (0.000, 0.500, 0.000) and Au at (0.250, 0.250, 0.500).

The density of states at the Fermi level is 4.38 states/eV per cell. Its crystal system is orthorhombic.

---

This record from the Alexandria database describes an optimized crystal structure of AgAs2Au. The functional is PBE.

The structure belongs to space group R-3m (No. 166, hexagonal axes); the cell edges are 3.9171, 3.9171 and 18.3225 Å and the angles 90.00°, 90.00° and 120.00°. The asymmetric unit holds Ag at (0.0000, 0.0000, 0.0000), As at (0.0000, 0.0000, 0.2438) and Au at (0.0000, 0.0000, 0.5000).

The density of states at the Fermi level is 7.86 states/eV per cell. As for the relative energy among the computed polymorphs: 53.0 meV per atom. Its crystal system is trigonal.

---

This record from the Alexandria database describes an optimized crystal structure of AgAsAu14. The functional is PBE.

The structure belongs to space group Amm2 (No. 38); the cell edges are 9.605, 5.753 and 10.513 Å and the angles 90.00°, 90.00° and 90.00°. The asymmetric unit holds Ag at (0.000, 0.000, 0.000), As at (0.000, 0.000, 0.496), Au at (0.000, 0.249, 0.750), Au at (0.249, 0.000, 0.162), Au at (0.249, 0.000, 0.661), Au at (0.249, 0.249, 0.912), Au at (0.500, 0.000, 0.323), Au at (0.500, 0.000, 0.822) and Au at (0.500, 0.249, 0.073).

The density of states at the Fermi level is 10.27 states/eV per cell. Its crystal system is orthorhombic.

---

This record from the Alexandria database describes an optimized crystal structure of Ag2AsAu. The functional is PBE.

The structure belongs to space group R3m (No. 160, hexagonal axes); the cell edges are 3.0586, 3.0586 and 27.3113 Å and the angles 90.00°, 90.00° and 120.00°. The asymmetric unit holds Ag at (0.0000, 0.0000, 0.0000), Ag at (0.0000, 0.0000, 0.2489), As at (0.0000, 0.0000, 0.4991) and Au at (0.0000, 0.0000, 0.7514).

The density of states at the Fermi level is 5.85 states/eV per cell. Its crystal system is trigonal.

---

So what do the calculations give for E? Going down the list: -3.560; -3.409; -3.624; -3.106; -3.501; -3.335; -3.282; -2.945; -3.393; -3.656; -3.295; -3.272 eV per atom.
So what do the calculations give for ΔH_f (0 K)? Going down the list: 28.7; 10.1; 22.5; 87.8; 34.4; 7.0; 12.1; 4.4; 11.7; 19.4; 4.0; 13.1 kJ/mol of atoms.